[1]
The following is a DFT calculation (PBE) of a relaxed CsSn3S crystal.

Unit cell a=6.2512 b=6.2512 c=6.2512 alpha=90.00 beta=90.00 gamma=90.00
Atoms (fractional coordinates):
Cs  0.0000  0.0000  0.0000
S  0.5000  0.5000  0.5000
Sn  0.0000  0.5000  0.0000
Sn  0.0000  0.0000  0.5000
Sn  0.5000  0.0000  0.0000

V, Å³/f.u.: 244.28
Total magnetic moment, μB/f.u.: 1.5
Relative energy among the computed polymorphs, eV/atom: 1.5515

[2]
The following is a DFT calculation (PBE) of a relaxed Rb2PuCu2I6 crystal.

Unit cell a=8.5393 b=8.3794 c=9.0855 alpha=115.75 beta=90.00 gamma=120.63
Atoms (fractional coordinates):
Rb  0.7227  0.4454  0.2028
Rb  0.2773  0.5546  0.7972
Pu  0.5000  0.0000  0.5000
Cu  0.9536  0.9072  0.7558
Cu  0.0464  0.0928  0.2442
I  0.7510  0.5020  0.6293
I  0.1969  0.8866  0.1964
I  0.3103  0.1134  0.8036
I  0.8031  0.1134  0.8036
I  0.6897  0.8866  0.1964
I  0.2490  0.4980  0.3707

V, Å³/f.u.: 482.85
Total magnetic moment, μB/f.u.: 6.0
Raw total energy, eV/atom: -3.890

[3]
The following is a DFT calculation (PBE) of a relaxed Ca2ZrPb crystal.

Unit cell a=4.7562 b=4.7540 c=5.0167 alpha=90.00 beta=90.00 gamma=90.00
Atoms (fractional coordinates):
Pb  0.5000  0.0000  0.5000
Ca  0.0000  0.0000  0.0000
Ca  0.5000  0.5000  0.0000
Zr  0.0000  0.5000  0.5000

V, Å³/f.u.: 113.43
Energy relative to the elements, meV/atom: -28
Total magnetic moment, μB/f.u.: 1.5

[4]
The following is a DFT calculation (PBE) of a relaxed LiTa2Sb crystal.

Unit cell a=2.9465 b=2.9465 c=9.1874 alpha=90.00 beta=90.00 gamma=90.00
Atoms (fractional coordinates):
Li  0.0000  0.0000  0.5009
Sb  0.5000  0.5000  0.7570
Ta  0.0000  0.0000  0.0016
Ta  0.5000  0.5000  0.2405

V, Å³/f.u.: 79.76
Total magnetic moment, μB/f.u.: 0.0
Raw total energy, eV/atom: -7.200

[5]
The following is a DFT calculation (PBE) of a relaxed TbAl2Pt crystal.

Unit cell a=4.2462 b=4.2462 c=5.6688 alpha=68.01 beta=68.01 gamma=60.00
Atoms (fractional coordinates):
Tb  0.5000  0.5000  0.5000
Al  0.2888  0.2888  0.1336
Al  0.7112  0.7112  0.8664
Pt  0.0000  0.0000  0.0000

V, Å³/f.u.: 79.81
Energy relative to the elements, meV/atom: -846
Total magnetic moment, μB/f.u.: 0.0

[6]
The following is a DFT calculation (PBE) of a relaxed Ga3TeBr crystal.

Unit cell a=6.0004 b=6.0004 c=6.0004 alpha=90.00 beta=90.00 gamma=90.00
Atoms (fractional coordinates):
Te  0.0000  0.0000  0.0000
Ga  0.0000  0.5000  0.0000
Ga  0.0000  0.0000  0.5000
Ga  0.5000  0.0000  0.0000
Br  0.5000  0.5000  0.5000

V, Å³/f.u.: 216.04
Total magnetic moment, μB/f.u.: 0.0
Relative energy among the computed polymorphs, eV/atom: 0.0480

[7]
The following is a DFT calculation (PBE) of a relaxed NdYNi3 crystal.

Unit cell a=4.0185 b=3.9545 c=12.3019 alpha=99.25 beta=90.00 gamma=90.00
Atoms (fractional coordinates):
Nd  0.2500  0.0717  0.1434
Nd  0.7500  0.9283  0.8566
Y  0.2500  0.7959  0.5919
Y  0.7500  0.2041  0.4081
Ni  0.2500  0.3788  0.7577
Ni  0.7500  0.6212  0.2423
Ni  0.2500  0.4752  0.9504
Ni  0.7500  0.5248  0.0496
Ni  0.7500  0.3253  0.6507
Ni  0.2500  0.6747  0.3493

V, Å³/f.u.: 96.48
Energy relative to the elements, meV/atom: -365
Total magnetic moment, μB/f.u.: 0.0

[8]
The following is a DFT calculation (PBE) of a relaxed NdThBi crystal.

Unit cell a=3.6373 b=5.5930 c=5.5930 alpha=120.00 beta=90.00 gamma=90.00
Atoms (fractional coordinates):
Nd  0.5984  0.6667  0.3333
Bi  0.3331  0.3333  0.6667
Th  0.0685  0.0000  0.0000

V, Å³/f.u.: 98.54
Energy relative to the elements, meV/atom: -114
Total magnetic moment, μB/f.u.: 0.0